Density functional theory data (PBEsol) for an optimized crystal structure of KTlCd2Se.

Cell lengths 5.300, 5.300, 6.137 Å; angles 90.00, 90.00, 90.00 degrees
Space group P4/mmm (No. 123)
Asymmetric unit:
K1 0.000 0.000 0.000 (multiplicity 1)
Tl1 0.000 0.000 0.500 (multiplicity 1)
Cd1 0.000 0.500 0.500 (multiplicity 2)
Se1 0.500 0.500 0.000 (multiplicity 1)

## Properties
* E_form (uncorrected): 0.2541 eV per atom
* electronic total energy: -1.747 eV per atom